# NaAcMnCl6 PBE relaxed
data_NaAcMnCl6
_chemical_formula_sum 'Na2 Ac2 Mn2 Cl12'
_symmetry_space_group_name_H-M 'P -3 1 c'
_symmetry_Int_Tables_number 163
_symmetry_space_group_name_Hall '-P 3 2c'
_cell_length_a 6.8364
_cell_length_b 6.8364
_cell_length_c 12.2799
_cell_angle_alpha 90.00
_cell_angle_beta 90.00
_cell_angle_gamma 120.00
loop_
_atom_site_label
_atom_site_type_symbol
_atom_site_fract_x
_atom_site_fract_y
_atom_site_fract_z
Na1 Na 0.0000 0.0000 0.0000
Ac1 Ac 0.3333 0.6667 0.2500
Mn1 Mn 0.3333 0.6667 0.7500
Cl1 Cl 0.0520 0.3748 0.6328
# - M_tot: 1.99 Bohr magnetons per cell
# - Energy relative to the elements, uncorrected: -1.567 eV/atom
# - Volume: 27.61 Å³/atom
# - DFT total energy: -79.57 eV/cell
# - Crystal system: trigonal